First-principles (GGA-PBEsol) data for a geometry-optimized IrRh3 structure, as listed in Alexandria via LeMat-Bulk.

Output
DFT formation energy, eV/atom: 0.03
ρ, g/cm³: 15.25
E_tot, eV per formula unit: -34.12
Magnetization, μB/f.u.: 0.0
Volume, Å³/cell: 109.11

a b c (Å): 4.3545 4.6578 5.3797
angles (deg): 90.00 90.00 90.00
With the nearest neighbours (Å) after each atom.
Fractional coordinates of all 8 atoms:
Ir 0.0000 0.6675 0.0000  12 Rh 2.67-2.69
Ir 0.5000 0.3325 0.5000  12 Rh 2.67-2.69
Rh 0.5000 0.3354 0.0000  4 Ir 2.67-2.69, 8 Rh 2.67-2.70
Rh 0.0000 0.1664 0.7511  8 Rh 2.67-2.70, 4 Ir 2.68-2.69
Rh 0.5000 0.8336 0.7489  8 Rh 2.67-2.70, 4 Ir 2.68-2.69
Rh 0.0000 0.6646 0.5000  4 Ir 2.67-2.69, 8 Rh 2.67-2.70
Rh 0.0000 0.1664 0.2489  8 Rh 2.67-2.70, 4 Ir 2.68-2.69
Rh 0.5000 0.8336 0.2511  8 Rh 2.67-2.70, 4 Ir 2.68-2.69

First-principles (GGA-PBEsol) data for a geometry-optimized Ba2MgHg structure, as listed in Alexandria via LeMat-Bulk.

Output
DFT formation energy, eV/atom: -0.29
ρ, g/cm³: 5.66
E_tot, eV per formula unit: -7.75
Magnetization, μB/f.u.: 0.0
Energy relative to the lowest polymorph listed for this composition, eV/atom: 0.019
Volume, Å³/cell: 146.53

a b c (Å): 4.2016 5.9053 5.9059
angles (deg): 90.00 90.00 90.00
With the nearest neighbours (Å) after each atom.
Fractional coordinates of all 4 atoms:
Mg 0.5000 0.5000 0.1241  8 Ba 3.62-3.63
Hg 0.5000 0.0000 0.6260  8 Ba 3.62-3.63
Ba 0.0000 0.0000 0.1252  4 Hg 3.62-3.63, 4 Mg 3.62
Ba 0.0000 0.5000 0.6247  4 Mg 3.62-3.63, 4 Hg 3.62

First-principles (GGA-PBEsol) data for a geometry-optimized TlSn2SbBr structure, as listed in Alexandria via LeMat-Bulk.

Output
Formation energy without anion corrections, eV/atom: 0.552
ρ, g/cm³: 6.32
E_tot, eV per formula unit: -14.82
Magnetization, μB/f.u.: 0.0
Volume, Å³/cell: 169.12

a b c (Å): 5.3146 5.6412 5.6412
angles (deg): 90.00 90.00 90.00
With the nearest neighbours (Å) after each atom.
Fractional coordinates of all 5 atoms:
Sb 0.5000 0.5000 0.5000  8 Sn 3.88, 4 Br 3.99
Tl 0.0000 0.0000 0.0000  2 Br 2.66, 4 Sn 2.82
Sn 0.0000 0.0000 0.5000  2 Tl 2.82
Sn 0.0000 0.5000 0.0000  2 Tl 2.82
Br 0.5000 0.0000 0.0000  2 Tl 2.66

First-principles (GGA-PBEsol) data for a geometry-optimized HfHF2 structure, as listed in Alexandria via LeMat-Bulk.

Output
ρ, g/cm³: 9.11
E_tot, eV per formula unit: -25.41
Magnetization, μB/f.u.: 0.0
Energy relative to the lowest polymorph listed for this composition, eV/atom: 0.000
Volume, Å³/cell: 79.28

a b c (Å): 3.3206 3.3206 7.5634
angles (deg): 102.68 102.68 90.00
With the nearest neighbours (Å) after each atom.
Fractional coordinates of all 8 atoms:
H 0.7500 0.2500 0.5000  4 F 2.18, 4 Hf 2.35
H 0.5000 0.5000 0.0000  4 F 2.18, 4 Hf 2.35
Hf 0.2500 0.7500 0.5000  4 F 2.12, 4 H 2.35
Hf 0.0000 0.0000 0.0000  4 F 2.12, 4 H 2.35
F 0.3519 0.8750 0.2500  2 Hf 2.12, 2 H 2.18, 2 F 2.24
F 0.8981 0.3750 0.2500  2 Hf 2.12, 2 H 2.18, 2 F 2.24
F 0.1250 0.1019 0.7500  2 Hf 2.12, 2 H 2.18, 2 F 2.24
F 0.6250 0.6481 0.7500  2 Hf 2.12, 2 H 2.18, 2 F 2.24

First-principles (GGA-PBEsol) data for a geometry-optimized DySbTe3 structure, as listed in Alexandria via LeMat-Bulk.

Output
Formation energy without anion corrections, eV/atom: -0.723
ρ, g/cm³: 6.94
E_tot, eV per formula unit: -23.73
Magnetization, μB/f.u.: 0.0
Volume, Å³/cell: 159.69

a b c (Å): 4.2575 4.2575 10.4656
angles (deg): 78.26 78.26 60.00
With the nearest neighbours (Å) after each atom.
Fractional coordinates of all 5 atoms:
Sb 0.6001 0.6001 0.1998  6 Te 2.96-3.23
Te 0.0022 0.0022 0.9933  3 Dy 3.12, 3 Sb 3.23
Te 0.2126 0.2126 0.3623  3 Sb 2.96
Te 0.7867 0.7867 0.6399  3 Dy 2.97
Dy 0.3985 0.3985 0.8046  6 Te 2.97-3.12

First-principles (GGA-PBEsol) data for a geometry-optimized Tl2CrPb structure, as listed in Alexandria via LeMat-Bulk.

Output
DFT formation energy, eV/atom: 0.47
ρ, g/cm³: 11.26
E_tot, eV per formula unit: -17.63
Magnetization, μB/f.u.: 4.2
Energy relative to the lowest polymorph listed for this composition, eV/atom: 0.029
Volume, Å³/cell: 98.48

a b c (Å): 3.3908 3.3908 10.0824
angles (deg): 80.32 80.32 60.00
With the nearest neighbours (Å) after each atom.
Fractional coordinates of all 4 atoms:
Cr 0.5000 0.5000 0.5000  6 Tl 2.92
Pb 0.0000 0.0000 0.0000  6 Pb 3.39, 6 Tl 3.39
Tl 0.2399 0.2399 0.2803  3 Cr 2.92
Tl 0.7601 0.7601 0.7197  3 Cr 2.92

First-principles (GGA-PBEsol) data for a geometry-optimized ReRu structure, as listed in Alexandria via LeMat-Bulk.

Output
DFT formation energy, eV/atom: -0.08
ρ, g/cm³: 17.16
E_tot, eV per formula unit: -23.66
Magnetization, μB/f.u.: 0.0
Volume, Å³/cell: 111.18

a b c (Å): 4.3279 4.7143 5.4490
angles (deg): 90.00 90.00 90.00
With the nearest neighbours (Å) after each atom.
Fractional coordinates of all 8 atoms:
Re 0.7500 0.9160 0.8755  8 Ru 2.67-2.73, 4 Re 2.67-2.73
Re 0.2500 0.5840 0.3755  8 Ru 2.67-2.73, 4 Re 2.67-2.73
Re 0.7500 0.4160 0.6245  8 Ru 2.67-2.73, 4 Re 2.67-2.73
Re 0.2500 0.0840 0.1245  8 Ru 2.67-2.73, 4 Re 2.67-2.73
Ru 0.7500 0.9157 0.3744  8 Re 2.67-2.73, 4 Ru 2.68-2.72
Ru 0.2500 0.5843 0.8744  8 Re 2.67-2.73, 4 Ru 2.68-2.72
Ru 0.7500 0.4157 0.1256  8 Re 2.67-2.73, 4 Ru 2.68-2.72
Ru 0.2500 0.0843 0.6256  8 Re 2.67-2.73, 4 Ru 2.68-2.72

First-principles (GGA-PBEsol) data for a geometry-optimized EuCuO3 structure, as listed in Alexandria via LeMat-Bulk.

Output
Formation energy without anion corrections, eV/atom: -1.669
ρ, g/cm³: 8.17
E_tot, eV per formula unit: -38.99
Magnetization, μB/f.u.: 6.1
Volume, Å³/cell: 53.57

a b c (Å): 3.7698 3.7698 3.7698
angles (deg): 90.00 90.00 90.00
With the nearest neighbours (Å) after each atom.
Fractional coordinates of all 5 atoms:
Eu 0.0000 0.0000 0.0000  12 O 2.67
O 0.5000 0.5000 0.0000  2 Cu 1.88
O 0.5000 0.0000 0.5000  2 Cu 1.88
O 0.0000 0.5000 0.5000  2 Cu 1.88
Cu 0.5000 0.5000 0.5000  6 O 1.88

First-principles (GGA-PBEsol) data for a geometry-optimized GdAlSi structure, as listed in Alexandria via LeMat-Bulk.

Output
Formation energy without anion corrections, eV/atom: -0.660
ρ, g/cm³: 5.86
E_tot, eV per formula unit: -26.27
Magnetization, μB/f.u.: 7.0
Volume, Å³/cell: 120.38

a b c (Å): 4.0848 4.0848 7.7714
angles (deg): 105.24 105.24 90.00
With the nearest neighbours (Å) after each atom.
Fractional coordinates of all 6 atoms:
Si 0.9178 0.4178 0.8357  3 Al 2.38
Si 0.6678 0.6678 0.3357  3 Al 2.38
Gd 0.4988 0.9988 0.9977  6 Si 3.12-3.18, 6 Al 3.13-3.15
Gd 0.2488 0.2488 0.4977  6 Si 3.12-3.18, 6 Al 3.13-3.15
Al 0.0827 0.5827 0.1654  3 Si 2.38
Al 0.8327 0.8327 0.6654  3 Si 2.38

First-principles (GGA-PBEsol) data for a geometry-optimized BaCuSeBr2 structure, as listed in Alexandria via LeMat-Bulk.

Output
Formation energy without anion corrections, eV/atom: -0.592
ρ, g/cm³: 4.64
E_tot, eV per formula unit: -17.03
Magnetization, μB/f.u.: 0.0
Volume, Å³/cell: 157.50

a b c (Å): 4.3051 6.0485 6.0485
angles (deg): 90.00 90.00 90.00
With the nearest neighbours (Å) after each atom.
Fractional coordinates of all 5 atoms:
Cu 0.5000 0.0000 0.0000  2 Se 2.15
Se 0.0000 0.0000 0.0000  2 Cu 2.15
Ba 0.5000 0.5000 0.5000  8 Br 3.71
Br 0.0000 0.0000 0.5000  2 Se 3.02
Br 0.0000 0.5000 0.0000  2 Se 3.02

First-principles (GGA-PBEsol) data for a geometry-optimized CdGa3Sn structure, as listed in Alexandria via LeMat-Bulk.

Output
DFT formation energy, eV/atom: 0.50
ρ, g/cm³: 5.70
E_tot, eV per formula unit: -13.00
Magnetization, μB/f.u.: 0.0
Volume, Å³/cell: 128.26

a b c (Å): 5.0430 5.0430 5.0430
angles (deg): 90.00 90.00 90.00
With the nearest neighbours (Å) after each atom.
Fractional coordinates of all 5 atoms:
Sn 0.5000 0.5000 0.5000  12 Ga 3.57
Ga 0.0000 0.5000 0.0000  2 Cd 2.52
Ga 0.0000 0.0000 0.5000  2 Cd 2.52
Ga 0.5000 0.0000 0.0000  2 Cd 2.52
Cd 0.0000 0.0000 0.0000  6 Ga 2.52

First-principles (GGA-PBEsol) data for a geometry-optimized Be2AgCl structure, as listed in Alexandria via LeMat-Bulk.

Output
Formation energy without anion corrections, eV/atom: 0.313
ρ, g/cm³: 4.50
E_tot, eV per formula unit: -12.07
Magnetization, μB/f.u.: 0.0
Energy relative to the lowest polymorph listed for this composition, eV/atom: 0.209
Volume, Å³/cell: 118.95

a b c (Å): 5.4409 5.4409 5.4409
angles (deg): 95.87 116.67 116.67
With the nearest neighbours (Å) after each atom.
Fractional coordinates of all 8 atoms:
Be 0.9766 0.6016 0.1250  2 Cl 2.13, 2 Ag 2.30
Be 0.0234 0.1484 0.6250  2 Cl 2.13, 2 Ag 2.30
Be 0.5234 0.3750 0.3984  2 Cl 2.13, 2 Ag 2.30
Be 0.4766 0.8750 0.8516  2 Cl 2.13, 2 Ag 2.30
Ag 0.0000 0.0000 0.0000  4 Be 2.30
Ag 0.5000 0.7500 0.2500  4 Be 2.30
Cl 0.0000 0.5000 0.5000  4 Be 2.13
Cl 0.5000 0.2500 0.7500  4 Be 2.13

What did the twelfth record say?
First-principles (GGA-PBEsol) data for a geometry-optimized Be2AgCl structure, as listed in Alexandria via LeMat-Bulk.

Output
Formation energy without anion corrections, eV/atom: 0.313
ρ, g/cm³: 4.50
E_tot, eV per formula unit: -12.07
Magnetization, μB/f.u.: 0.0
Energy relative to the lowest polymorph listed for this composition, eV/atom: 0.209
Volume, Å³/cell: 118.95

a b c (Å): 5.4409 5.4409 5.4409
angles (deg): 95.87 116.67 116.67
With the nearest neighbours (Å) after each atom.
Fractional coordinates of all 8 atoms:
Be 0.9766 0.6016 0.1250  2 Cl 2.13, 2 Ag 2.30
Be 0.0234 0.1484 0.6250  2 Cl 2.13, 2 Ag 2.30
Be 0.5234 0.3750 0.3984  2 Cl 2.13, 2 Ag 2.30
Be 0.4766 0.8750 0.8516  2 Cl 2.13, 2 Ag 2.30
Ag 0.0000 0.0000 0.0000  4 Be 2.30
Ag 0.5000 0.7500 0.2500  4 Be 2.30
Cl 0.0000 0.5000 0.5000  4 Be 2.13
Cl 0.5000 0.2500 0.7500  4 Be 2.13